! LaPu2Rh9 PBE relaxed; values from VASP
&SYSTEM
  ibrav = 0, nat = 12, ntyp = 3
/
ATOMIC_SPECIES
La 138.91 La.upf
Pu 244.00 Pu.upf
Rh 102.91 Rh.upf
ATOMIC_POSITIONS crystal
La 0.000 0.000 0.000
Pu 0.140 0.140 0.140
Pu 0.860 0.860 0.860
Rh 0.081 0.586 0.586
Rh 0.333 0.333 0.333
Rh 0.414 0.414 0.919
Rh 0.414 0.919 0.414
Rh 0.500 0.500 0.500
Rh 0.586 0.081 0.586
Rh 0.586 0.586 0.081
Rh 0.667 0.667 0.667
Rh 0.919 0.414 0.414
CELL_PARAMETERS angstrom
2.647 1.528 8.776
-2.647 1.528 8.776
0.000 -3.057 8.776
! * calculated volume: 213 Å³ per cell
! * D(E_F): 26.4 states/eV/cell
! * formation enthalpy at 0 K: -0.427 eV/atom

! La3PuRh3 PBE relaxed; values from VASP
&SYSTEM
  ibrav = 0, nat = 14, ntyp = 3
/
ATOMIC_SPECIES
La 138.91 La.upf
Pu 244.00 Pu.upf
Rh 102.91 Rh.upf
ATOMIC_POSITIONS crystal
La 0.177 0.823 0.000
La 0.254 0.746 0.500
La 0.336 0.336 0.132
La 0.664 0.664 0.868
La 0.746 0.254 0.500
La 0.823 0.177 0.000
Pu 0.232 0.232 0.641
Pu 0.768 0.768 0.359
Rh 0.024 0.492 0.788
Rh 0.072 0.072 0.308
Rh 0.492 0.024 0.788
Rh 0.508 0.976 0.212
Rh 0.928 0.928 0.692
Rh 0.976 0.508 0.212
CELL_PARAMETERS angstrom
4.668 -5.284 0.000
4.668 5.284 0.000
-0.057 0.000 7.303
! * calculated volume: 360 Å³ per cell
! * D(E_F): 25.7 states/eV/cell
! * formation enthalpy at 0 K: -0.516 eV/atom

! La2Pu12Rh7 PBE relaxed; values from VASP
&SYSTEM
  ibrav = 0, nat = 21, ntyp = 3
/
ATOMIC_SPECIES
La 138.91 La.upf
Pu 244.00 Pu.upf
Rh 102.91 Rh.upf
ATOMIC_POSITIONS crystal
La 0.000 0.000 0.000
La 0.333 0.667 0.500
Pu 0.096 0.721 0.000
Pu 0.109 0.314 0.500
Pu 0.205 0.891 0.500
Pu 0.279 0.375 0.000
Pu 0.391 0.169 0.000
Pu 0.540 0.431 0.500
Pu 0.569 0.108 0.500
Pu 0.625 0.904 0.000
Pu 0.686 0.795 0.500
Pu 0.778 0.609 0.000
Pu 0.831 0.222 0.000
Pu 0.892 0.460 0.500
Rh 0.081 0.474 0.000
Rh 0.239 0.159 0.500
Rh 0.393 0.919 0.000
Rh 0.526 0.607 0.000
Rh 0.667 0.333 0.000
Rh 0.841 0.080 0.500
Rh 0.920 0.761 0.500
CELL_PARAMETERS angstrom
11.641 0.000 0.000
-5.821 10.082 0.000
0.000 0.000 4.121
! * calculated volume: 484 Å³ per cell
! * D(E_F): 82.4 states/eV/cell
! * formation enthalpy at 0 K: -0.264 eV/atom

! La3PuRh8 PBE relaxed; values from VASP
&SYSTEM
  ibrav = 0, nat = 12, ntyp = 3
/
ATOMIC_SPECIES
La 138.91 La.upf
Pu 244.00 Pu.upf
Rh 102.91 Rh.upf
ATOMIC_POSITIONS crystal
La 0.000 0.000 0.000
La 0.126 0.126 0.126
La 0.623 0.623 0.623
Pu 0.500 0.500 0.500
Rh 0.061 0.061 0.561
Rh 0.061 0.561 0.061
Rh 0.065 0.563 0.563
Rh 0.312 0.312 0.312
Rh 0.561 0.061 0.061
Rh 0.563 0.065 0.563
Rh 0.563 0.563 0.065
Rh 0.812 0.812 0.812
CELL_PARAMETERS angstrom
2.708 1.564 8.865
-2.708 1.564 8.865
0.000 -3.127 8.865
! * calculated volume: 225 Å³ per cell
! * D(E_F): 17.6 states/eV/cell
! * formation enthalpy at 0 K: -0.634 eV/atom

! La2PuSb4Rh3 PBE relaxed; values from VASP
&SYSTEM
  ibrav = 0, nat = 10, ntyp = 4
/
ATOMIC_SPECIES
La 138.91 La.upf
Pu 244.00 Pu.upf
Sb 121.76 Sb.upf
Rh 102.91 Rh.upf
ATOMIC_POSITIONS crystal
La 0.000 0.500 0.226
La 0.500 0.000 0.774
Pu 0.000 0.000 0.500
Sb 0.000 0.000 0.000
Sb 0.000 0.500 0.666
Sb 0.500 0.000 0.334
Sb 0.500 0.500 0.000
Rh 0.000 0.500 0.887
Rh 0.500 0.000 0.113
Rh 0.500 0.500 0.500
CELL_PARAMETERS angstrom
4.549 0.000 0.000
0.000 4.549 0.000
0.000 0.000 11.834
! * calculated volume: 245 Å³ per cell
! * uncorrected formation energy: -0.740 eV per atom
! * D(E_F): 16.3 states/eV/cell

! La2PuTe3Rh4 PBE relaxed; values from VASP
&SYSTEM
  ibrav = 0, nat = 10, ntyp = 4
/
ATOMIC_SPECIES
La 138.91 La.upf
Pu 244.00 Pu.upf
Te 127.60 Te.upf
Rh 102.91 Rh.upf
ATOMIC_POSITIONS crystal
La 0.000 0.500 0.221
La 0.500 0.000 0.779
Pu 0.000 0.000 0.500
Te 0.000 0.500 0.870
Te 0.500 0.000 0.130
Te 0.500 0.500 0.500
Rh 0.000 0.000 0.000
Rh 0.000 0.500 0.642
Rh 0.500 0.000 0.358
Rh 0.500 0.500 0.000
CELL_PARAMETERS angstrom
4.487 0.000 0.000
0.000 4.487 0.000
0.000 0.000 11.312
! * calculated volume: 228 Å³ per cell
! * uncorrected formation energy: -0.801 eV per atom
! * D(E_F): 14.3 states/eV/cell